Below is K2ScCl after structural relaxation, with properties calculated at the PBE level.

Values from the calculation:
ΔE_f (raw): -499 meV per atom
DFT total energy: -12.37 eV/cell
DOS(E_F): 4.10 states/eV per cell
density: 1.92 Mg/m³
symmetry: No. 10

Cell: 3.6048 3.6051 10.5717 Å, 90.00 90.17 90.00°
Closest atoms and distances in Å follow each position.
Positions (direct):
K 0.0021 0.0000 0.1834  4 Cl 3.20
K 0.9979 0.0000 0.8166  4 Cl 3.20
Sc 0.5000 0.5000 0.5000  4 Sc 3.60-3.61
Cl 0.5000 0.5000 0.0000  8 K 3.20